# 1
This record from the Alexandria database describes crystalline CaTaAs2 at its relaxed geometry. The functional is PBE.

Geometry as POSCAR:
```
CaTaAs2
1.0
3.097 0.000 0.000
-1.548 2.682 0.000
0.000 0.000 32.517
Ca Ta As
3 3 6
direct
0.000 0.000 0.000 Ca
0.333 0.667 0.667 Ca
0.667 0.333 0.333 Ca
0.000 0.000 0.246 Ta
0.333 0.667 0.913 Ta
0.667 0.333 0.579 Ta
0.000 0.000 0.513 As
0.000 0.000 0.739 As
0.333 0.667 0.180 As
0.333 0.667 0.406 As
0.667 0.333 0.073 As
0.667 0.333 0.847 As
```

***

# 2
This record from the Alexandria database describes crystalline ErAl6Pd2 at its relaxed geometry. The functional is PBE.

Geometry as POSCAR:
```
ErAl6Pd2
1.0
4.519 0.000 0.000
0.000 4.519 0.000
0.000 0.000 7.897
Er Al Pd
1 6 2
direct
0.000 0.000 0.000 Er
0.000 0.000 0.500 Al
0.000 0.500 0.295 Al
0.000 0.500 0.705 Al
0.500 0.000 0.295 Al
0.500 0.000 0.705 Al
0.500 0.500 0.500 Al
0.500 0.500 0.169 Pd
0.500 0.500 0.831 Pd
```

***

# 3
This record from the Alexandria database describes crystalline Sm3DyTm12 at its relaxed geometry. The functional is PBE.

Geometry as POSCAR:
```
Sm3DyTm12
1.0
4.970 0.000 0.000
0.000 4.970 0.000
0.000 0.000 19.907
Sm Dy Tm
3 1 12
direct
0.000 0.000 0.000 Sm
0.000 0.000 0.251 Sm
0.000 0.000 0.749 Sm
0.000 0.000 0.500 Dy
0.000 0.500 0.125 Tm
0.000 0.500 0.376 Tm
0.000 0.500 0.624 Tm
0.000 0.500 0.875 Tm
0.500 0.000 0.125 Tm
0.500 0.000 0.376 Tm
0.500 0.000 0.624 Tm
0.500 0.000 0.875 Tm
0.500 0.500 0.000 Tm
0.500 0.500 0.251 Tm
0.500 0.500 0.500 Tm
0.500 0.500 0.749 Tm
```

***

# 4
This record from the Alexandria database describes crystalline Cs2Na2Sn at its relaxed geometry. The functional is PBE.

Geometry as POSCAR:
```
Cs2Na2Sn
1.0
8.523 0.000 0.000
0.000 8.523 0.000
0.000 0.000 6.709
Cs Na Sn
4 4 2
direct
0.189 0.311 0.000 Cs
0.311 0.811 0.000 Cs
0.689 0.189 0.000 Cs
0.811 0.689 0.000 Cs
0.169 0.669 0.500 Na
0.331 0.169 0.500 Na
0.669 0.831 0.500 Na
0.831 0.331 0.500 Na
0.000 0.000 0.500 Sn
0.500 0.500 0.500 Sn
```

***

Energy relative to the elements readings, ordered: 25.1; -41.3; 2.5; -1.6 kJ per mole of atoms